Ce8Bi2Pt: relaxed, PBE.

```
data_Ce8Bi2Pt
_chemical_formula_sum 'Ce16 Bi4 Pt2'
_space_group_name_H-M_alt 'C 1 2/m 1'
_space_group_IT_number 12
_cell_length_a 15.973
_cell_length_b 5.636
_cell_length_c 7.018
_cell_angle_alpha 90.00
_cell_angle_beta 111.88
_cell_angle_gamma 90.00
loop_
_space_group_symop_operation_xyz
'x,y,z'
'-x,-y,-z'
'-x,y,-z'
'x,-y,z'
'x+1/2,y+1/2,z'
'-x+1/2,-y+1/2,-z'
'-x+1/2,y+1/2,-z'
'x+1/2,-y+1/2,z'
loop_
_atom_site_label
_atom_site_fract_x
_atom_site_fract_y
_atom_site_fract_z
_atom_site_occupancy
Ce1 0.000 0.000 0.244 1
Ce2 0.111 0.500 0.431 1
Ce3 0.140 0.500 0.846 1
Ce4 0.157 0.000 0.143 1
Bi1 0.198 0.000 0.674 1
Pt1 0.000 0.500 0.000 1
```

- calculated volume (Å³ per cell) = 586
- formation energy (eV per formula unit) = -4.33
- DOS at the Fermi energy (states/eV/f.u.) = 30.5
- crystal system = monoclinic
- electronic total energy (eV/atom) = -5.9641
- M_tot (μB/cell) = 8.4